A plane-wave DFT calculation with PBE was carried out for an optimized crystal structure of MgCoAu2.

a = 3.926 Å, b = 3.926 Å, c = 9.655 Å
α = 78.27°, β = 78.27°, γ = 90.00°
Site moments in Bohr magnetons follow the coordinates.
Fractional positions:
1 Au 0.875 0.881 0.750  0.00
2 Au 0.631 0.125 0.250  0.00
3 Au 0.119 0.625 0.250  0.01
4 Au 0.375 0.369 0.750  0.00
5 Mg 0.500 0.500 0.000  -0.01
6 Mg 0.250 0.750 0.500  -0.01
7 Co 0.000 0.000 0.000  1.59
8 Co 0.750 0.250 0.500  1.58

Output
Energy of formation from the pure elements   188 meV/atom
Total magnetic moment   3.01 μB per cell
E_tot   -29.0 eV per cell
Calculated volume   17.8 A^3/atom
DOS at the Fermi energy   4.50 states/eV/f.u.

A plane-wave DFT calculation with PBE was carried out for an optimized crystal structure of Zn3NiIr.

a = 4.458 Å, b = 4.464 Å, c = 7.297 Å
α = 86.14°, β = 72.20°, γ = 77.20°
Fractional positions:
1 Zn 0.457 0.845 0.806
2 Zn 0.654 0.844 0.411
3 Zn 0.260 0.845 0.200
4 Zn 0.757 0.344 0.204
5 Zn 0.954 0.344 0.808
6 Zn 0.151 0.344 0.414
7 Ni 0.354 0.345 0.010
8 Ni 0.057 0.844 0.605
9 Ir 0.855 0.844 0.009
10 Ir 0.556 0.344 0.606

Output
Energy of formation from the pure elements   -180 meV/atom
Polymorph energy (0 for the lowest one)   0.000 eV/atom
Total magnetic moment   0.00 μB per cell
E_tot   -38.7 eV per cell
Calculated volume   13.5 A^3/atom
DOS at the Fermi energy   1.93 states/eV/f.u.

A plane-wave DFT calculation with PBE was carried out for an optimized crystal structure of Zr4NiSb.

a = 5.704 Å, b = 6.658 Å, c = 6.658 Å
α = 90.00°, β = 90.00°, γ = 90.00°
Fractional positions:
1 Ni 0.750 0.500 0.500
2 Ni 0.250 0.500 0.500
3 Zr 0.000 0.358 0.175
4 Zr 0.000 0.175 0.642
5 Zr 0.500 0.825 0.642
6 Zr 0.500 0.175 0.358
7 Zr 0.500 0.642 0.175
8 Zr 0.000 0.642 0.825
9 Zr 0.000 0.825 0.358
10 Zr 0.500 0.358 0.825
11 Sb 0.250 0.000 0.000
12 Sb 0.750 0.000 0.000

Output
Polymorph energy (0 for the lowest one)   0.000 eV/atom
Total magnetic moment   0.00 μB per cell
E_tot   -92.9 eV per cell
Calculated volume   21.1 A^3/atom
DOS at the Fermi energy   5.94 states/eV/f.u.
Uncorrected formation energy   -0.393 eV per atom

A plane-wave DFT calculation with PBE was carried out for an optimized crystal structure of BeIn.

a = 6.126 Å, b = 6.126 Å, c = 5.824 Å
α = 89.98°, β = 89.98°, γ = 28.49°
Fractional positions:
1 In 0.981 0.981 0.973
2 In 0.037 0.037 0.472
3 In 0.719 0.719 0.972
4 Be 0.346 0.346 0.660
5 Be 0.345 0.345 0.283
6 Be 0.738 0.738 0.473

Output
Energy of formation from the pure elements   406 meV/atom
Polymorph energy (0 for the lowest one)   0.120 eV/atom
Total magnetic moment   0.00 μB per cell
E_tot   -17.0 eV per cell
Calculated volume   17.4 A^3/atom
DOS at the Fermi energy   0.31 states/eV/f.u.

A plane-wave DFT calculation with PBE was carried out for an optimized crystal structure of NiPd2Se2.

a = 4.911 Å, b = 4.911 Å, c = 5.233 Å
α = 62.01°, β = 62.01°, γ = 90.00°
Site moments in Bohr magnetons follow the coordinates.
Fractional positions:
1 Pd 0.670 0.670 0.659  0.02
2 Pd 0.330 0.330 0.341  0.02
3 Se 0.250 0.750 0.500  0.04
4 Se 0.750 0.250 0.500  0.04
5 Ni 0.000 0.000 0.000  0.68

Output
Total magnetic moment   0.82 μB per cell
E_tot   -22.0 eV per cell
Calculated volume   18.9 A^3/atom
DOS at the Fermi energy   4.46 states/eV/f.u.
Uncorrected formation energy   0.236 eV per atom

A plane-wave DFT calculation with PBE was carried out for an optimized crystal structure of TbPr5Tm3.

a = 10.995 Å, b = 10.995 Å, c = 11.761 Å
α = 55.31°, β = 55.31°, γ = 33.53°
Fractional positions:
1 Pr 0.191 0.531 0.616
2 Pr 0.647 0.992 0.530
3 Pr 0.598 0.402 0.250
4 Pr 0.008 0.353 0.970
5 Pr 0.531 0.191 0.116
6 Pr 0.353 0.008 0.470
7 Pr 0.809 0.469 0.384
8 Pr 0.402 0.598 0.750
9 Pr 0.992 0.647 0.030
10 Pr 0.469 0.809 0.884
11 Tm 0.398 0.952 0.175
12 Tm 0.602 0.048 0.825
13 Tm 0.048 0.602 0.325
14 Tm 0.000 0.000 0.500
15 Tm 0.952 0.398 0.675
16 Tm 0.000 0.000 0.000
17 Tb 0.109 0.891 0.250
18 Tb 0.891 0.109 0.750

Output
Energy of formation from the pure elements   275 meV/atom
Polymorph energy (0 for the lowest one)   0.000 eV/atom
Total magnetic moment   0.00 μB per cell
E_tot   -78.9 eV per cell
Calculated volume   35.1 A^3/atom
DOS at the Fermi energy   12.99 states/eV/f.u.